Here is a geometry-optimized P3WF structure from Alexandria. Energies are from GGA+U.

Its density of states at the Fermi level is 4.3 states/eV/cell. The total energy is -23.03 eV per cell.

abc: 4.6916 4.6916 4.6916
angles: 90.00 90.00 90.00
With the nearest neighbours (Å) after each atom.
Fractional coordinates of all 5 atoms:
P1 0.0000 0.5000 0.0000  2 W 2.35
P2 0.0000 0.0000 0.5000  2 W 2.35
P3 0.5000 0.0000 0.0000  2 W 2.35
F1 0.5000 0.5000 0.5000  12 P 3.32
W1 0.0000 0.0000 0.0000  6 P 2.35